[1]
Entry from Alexandria via LeMat-Bulk: a relaxed structure of La4AgIr (PBE).

a b c (Å): 8.774 8.774 8.774
angles (deg): 90.00 90.00 90.00
Space group F-43m (No. 216)
One atom of each set of equivalent atoms:
La: 0.123 0.123 0.377 x16
Ag: 0.000 0.000 0.000 x4
Ir: 0.250 0.250 0.750 x4

Calculated values
Calculated volume in Å³/atom: 28.14
Excess energy over the best structure of this formula in the dataset in eV/f.u.: 5.97

[2]
Entry from Alexandria via LeMat-Bulk: a relaxed structure of Ti3Be2Ni5 (PBE).

a b c (Å): 8.439 8.439 3.309
angles (deg): 90.00 90.00 90.00
Space group P4/mbm (No. 127)
One atom of each set of equivalent atoms:
Ti: 0.000 0.000 0.000 x2
Ti: 0.176 0.324 0.000 x4
Be: 0.119 0.619 0.000 x4
Ni: 0.000 0.500 0.500 x2
Ni: 0.069 0.787 0.500 x8

Calculated values
Calculated volume in Å³/atom: 11.78

| no. | energy of formation from the pure elements (eV per atom) |
| --- | --- |
| 1 | 0.577 |
| 2 | -0.416 |